No. 1
Pm3PrSmEr: optimized geometry, PBE.

extended XYZ file:
```
12
Lattice="8.114 0.000 0.000 0.000 5.149 0.000 -3.268 0.000 9.739" Properties=species:S:1:pos:R:3 pbc="T T T"
Pm 1.228 1.287 0.414
Pm -1.215 3.862 7.705
Pm -0.391 1.287 5.279
Pm 5.237 3.862 4.461
Pm 6.061 1.287 2.034
Pm 3.618 3.862 9.326
Pr 0.414 3.862 2.852
Pr 4.432 1.287 6.887
Sm 1.196 1.287 8.514
Sm 3.650 3.862 1.226
Er 2.829 1.287 3.661
Er 2.018 3.862 6.078
```

- Magnetic moment: 0.00 μB per formula unit



No. 2
PmPrSm2Er4: optimized geometry, PBE.

extended XYZ file:
```
16
Lattice="-3.409 5.922 6.635 3.409 -5.922 6.635 3.409 5.922 -6.635" Properties=species:S:1:pos:R:3 pbc="T T T"
Pm -1.705 2.961 3.318
Pm 1.705 2.961 3.318
Pr 0.000 0.000 0.000
Pr 0.000 5.922 0.000
Sm 1.705 2.961 -3.318
Sm 1.705 -2.961 3.318
Sm 3.409 0.000 0.000
Sm 0.000 0.000 6.635
Er 3.409 -0.006 3.314
Er 3.409 5.917 -3.314
Er 1.708 2.961 -0.006
Er 5.110 2.961 -0.006
Er -1.701 2.961 6.641
Er 0.000 0.006 9.949
Er 1.701 2.961 6.641
Er 0.000 5.928 3.321
```

- Magnetic moment: 2.63 μB per formula unit



No. 3
PmPr3SmEr: optimized geometry, PBE.

extended XYZ file:
```
12
Lattice="3.019 -5.648 0.000 3.019 5.648 0.000 0.000 0.000 12.101" Properties=species:S:1:pos:R:3 pbc="T T T"
Pm 3.019 5.411 9.076
Pm 3.019 -5.411 3.025
Pr 3.019 3.758 0.212
Pr 3.019 3.758 5.838
Pr 3.019 1.634 3.025
Pr 3.019 -1.634 9.076
Pr 3.019 -3.758 6.262
Pr 3.019 -3.758 11.889
Sm 3.019 0.000 0.000
Sm 3.019 0.000 6.050
Er 3.019 1.890 9.076
Er 3.019 -1.890 3.025
```

- Magnetic moment: 0.00 μB per formula unit



Number 1: volume 406.90 Å³ per cell, ΔH_f (0 K) 19 meV/atom. Number 2: volume 535.85 Å³ per cell, ΔH_f (0 K) 417 meV/atom. Number 3: volume 412.68 Å³ per cell, ΔH_f (0 K) 115 meV/atom.